No. 1
Ag5O: optimized geometry, PBE.

a = 5.3013 Å, b = 5.3013 Å, c = 4.7933 Å
α = 90.00°, β = 90.00°, γ = 120.00°
Closest atoms and distances in Å follow each position.
Positions (direct):
Ag: 0.6667 0.3333 0.0000  9 Ag 2.84-3.06, 3 O 3.06
Ag: 0.3333 0.6667 0.0000  9 Ag 2.84-3.06, 3 O 3.06
Ag: 0.5000 0.0000 0.5000  8 Ag 2.65-2.84
Ag: 0.0000 0.5000 0.5000  8 Ag 2.65-2.84
Ag: 0.5000 0.5000 0.5000  8 Ag 2.65-2.84
O: 0.0000 0.0000 0.0000  6 Ag 3.06

ρ: 7.90 Mg/m³
Total energy: -2.6755 eV/atom

=====

No. 2
Dy2Er2Lu3Te2Pd2: optimized geometry, PBE.

a = 9.3289 Å, b = 9.3289 Å, c = 9.3289 Å
α = 155.81°, β = 67.29°, γ = 118.29°
Closest atoms and distances in Å follow each position.
Positions (direct):
Dy: 0.8772 0.7341 0.1431  2 Pd 2.93, 2 Te 3.13
Dy: 0.5910 0.7341 0.8569  2 Pd 2.93, 2 Te 3.13
Er: 0.5550 0.3730 0.1821  3 Pd 2.84-3.17, 1 Te 3.13
Er: 0.1909 0.3730 0.8179  3 Pd 2.84-3.17, 1 Te 3.13
Lu: 0.9523 0.5831 0.3692  2 Pd 2.82, 3 Te 3.08-3.16
Lu: 0.4990 0.9990 0.5000  3 Te 3.22-3.27
Lu: 0.2138 0.5831 0.6308  2 Pd 2.82, 3 Te 3.08-3.16
Pd: 0.3286 0.0672 0.2614  2 Lu 2.82, 2 Er 2.84, 2 Dy 2.93
Pd: 0.8058 0.0672 0.7386  2 Lu 2.82, 2 Er 2.84, 2 Dy 2.93
Te: 0.2318 0.2318 0.0000  2 Er 3.13, 6 Lu 3.16-3.22
Te: 0.8409 0.3409 0.5000  3 Lu 3.08-3.27, 4 Dy 3.13

Magnetic moment: 0.000 Bohr magnetons per cell
ρ: 9.44 Mg/m³
Total energy: -5.2494 eV/atom
Energy relative to the lowest polymorph listed for this composition: 0.8 kJ/mol of atoms

=====

No. 3
NaEr5: optimized geometry, PBE.

a = 6.5418 Å, b = 6.5418 Å, c = 5.6787 Å
α = 90.00°, β = 90.00°, γ = 120.00°
Closest atoms and distances in Å follow each position.
Positions (direct):
Er: 0.6667 0.3333 0.0000  9 Er 3.41-3.78, 3 Na 3.78
Er: 0.3333 0.6667 0.0000  9 Er 3.41-3.78, 3 Na 3.78
Er: 0.5000 0.0000 0.5000  8 Er 3.27-3.41
Er: 0.0000 0.5000 0.5000  8 Er 3.27-3.41
Er: 0.5000 0.5000 0.5000  8 Er 3.27-3.41
Na: 0.0000 0.0000 0.0000  6 Er 3.78

Magnetic moment: 0.042 Bohr magnetons per cell
ρ: 6.78 Mg/m³
Total energy: -3.5367 eV/atom

=====

No. 4
ErNbGe: optimized geometry, PBE.

a = 4.5766 Å, b = 4.5766 Å, c = 4.5766 Å
α = 60.00°, β = 60.00°, γ = 60.00°
Closest atoms and distances in Å follow each position.
Positions (direct):
Er: 0.2500 0.2500 0.2500  4 Ge 2.80
Ge: 0.0000 0.0000 0.0000  4 Nb 2.80, 4 Er 2.80
Nb: 0.7500 0.7500 0.7500  4 Ge 2.80

Magnetic moment: 1.088 Bohr magnetons per cell
ρ: 8.15 Mg/m³
Total energy: -6.5187 eV/atom

=====

No. 5
Nb4GaPN2: optimized geometry, PBE.

a = 3.1087 Å, b = 3.1087 Å, c = 13.1472 Å
α = 90.00°, β = 90.00°, γ = 120.00°
Closest atoms and distances in Å follow each position.
Positions (direct):
Ga: 0.0000 0.0000 0.0000  6 Nb 2.82, 6 Ga 3.11
N: 0.6667 0.3333 0.2627  6 Nb 2.20-2.24
N: 0.6667 0.3333 0.7373  6 Nb 2.20-2.24
Nb: 0.3333 0.6667 0.1658  3 N 2.20
Nb: 0.0000 0.0000 0.3652  3 N 2.24
Nb: 0.0000 0.0000 0.6348  3 N 2.24
Nb: 0.3333 0.6667 0.8342  3 N 2.20
P: 0.3333 0.6667 0.5000  6 Nb 2.52

Magnetic moment: 0.004 Bohr magnetons per cell
ρ: 7.55 Mg/m³
Total energy: -8.9172 eV/atom

=====

No. 6
ZnMo: optimized geometry, PBE.

a = 4.7632 Å, b = 7.5755 Å, c = 4.4536 Å
α = 90.00°, β = 90.00°, γ = 71.66°
Closest atoms and distances in Å follow each position.
Positions (direct):
Mo: 0.7866 0.4074 0.0000  5 Mo 2.67-2.84, 7 Zn 2.75-2.91
Mo: 0.2116 0.6000 0.0000  8 Mo 2.67-2.84, 4 Zn 2.77-2.89
Mo: 0.5939 0.7927 0.0000  5 Mo 2.67-2.84, 7 Zn 2.75-2.91
Mo: 0.4640 0.4155 0.5000  5 Mo 2.65-2.70, 7 Zn 2.71-2.96
Mo: 0.2793 0.7845 0.5000  5 Mo 2.65-2.70, 7 Zn 2.71-2.96
Zn: 0.9901 0.0022 0.0000  6 Zn 2.69-2.77, 6 Mo 2.81-2.91
Zn: 0.3924 0.1979 0.0000  6 Zn 2.69-2.77, 6 Mo 2.81-2.91
Zn: 0.6723 0.0034 0.5000  7 Zn 2.69-2.90, 5 Mo 2.83-2.96
Zn: 0.0760 0.1965 0.5000  7 Zn 2.69-2.90, 5 Mo 2.83-2.96
Zn: 0.8670 0.6000 0.5000  10 Mo 2.71-2.77, 2 Zn 2.90

Magnetic moment: 0.029 Bohr magnetons per cell
ρ: 8.78 Mg/m³
Total energy: -5.8642 eV/atom
ΔH_f (0 K): 0.192 eV/atom
Energy relative to the lowest polymorph listed for this composition: 12.7 kJ/mol of atoms